Computed, not measured: a relaxed structure of Pm3DyEr8 at the PBE level of DFT.

Cell lengths 8.4269, 8.4269, 8.4269 Å; angles 99.93, 95.98, 136.33 degrees
Last column: nearest neighbours and their distance in Å.
Positions (direct):
Pm  0.0000  0.0000  0.0000  10 Er 3.52-3.64, 2 Pm 3.52
Pm  0.4136  0.6642  0.7494  10 Er 3.50-3.64, 1 Dy 3.51, 1 Pm 3.52
Pm  0.9149  0.6642  0.2506  10 Er 3.50-3.64, 1 Dy 3.51, 1 Pm 3.52
Dy  0.4996  0.9996  0.5000  10 Er 3.50-3.63, 2 Pm 3.51
Er  0.4178  0.3341  0.4184  7 Er 3.49-3.63, 1 Dy 3.50, 4 Pm 3.52-3.64
Er  0.4178  0.9993  0.0836  7 Er 3.49-3.63, 1 Dy 3.50, 4 Pm 3.52-3.64
Er  0.4971  0.3288  0.8317  7 Er 3.49-3.65, 4 Pm 3.52-3.64, 1 Dy 3.60
Er  0.4971  0.6654  0.1683  7 Er 3.49-3.65, 4 Pm 3.52-3.64, 1 Dy 3.60
Er  0.9157  0.3341  0.9164  7 Er 3.49-3.63, 1 Dy 3.50, 4 Pm 3.52-3.64
Er  0.9157  0.9993  0.5816  7 Er 3.49-3.63, 1 Dy 3.50, 4 Pm 3.52-3.64
Er  0.9973  0.3307  0.3334  7 Er 3.49-3.61, 3 Pm 3.50-3.61, 2 Dy 3.61-3.63
Er  0.9973  0.6639  0.6666  7 Er 3.49-3.61, 3 Pm 3.50-3.61, 2 Dy 3.61-3.63

Summary:
total moment	0.00	μB/f.u.
energy relative to the elements	13	meV/atom
SG	Imm2, No. 44